[1]
This record from Alexandria via LeMat-Bulk describes crystalline Er2AgHg8 at its relaxed geometry. The functional is GGA-PBE.

a = 4.8901 Å, b = 4.8901 Å, c = 11.1644 Å
α = 90.00°, β = 90.00°, γ = 90.00°
Last column: nearest neighbours and their distance in Å.
Fractional positions:
1 Hg 0.0000 0.5000 0.5000  8 Hg 3.17-3.46, 4 Er 3.19
2 Hg 0.5000 0.0000 0.5000  8 Hg 3.17-3.46, 4 Er 3.19
3 Hg 0.5000 0.0000 0.8604  2 Ag 2.90, 3 Hg 3.12-3.16, 2 Er 3.14
4 Er 0.0000 0.0000 0.3162  12 Hg 3.14-3.46
5 Hg 0.5000 0.5000 0.6805  8 Hg 3.16-3.17, 4 Er 3.46
6 Hg 0.5000 0.5000 0.3195  8 Hg 3.16-3.17, 4 Er 3.46
7 Hg 0.0000 0.5000 0.8604  2 Ag 2.90, 3 Hg 3.12-3.16, 2 Er 3.14
8 Hg 0.0000 0.5000 0.1396  2 Ag 2.90, 3 Hg 3.12-3.16, 2 Er 3.14
9 Ag 0.0000 0.0000 0.0000  8 Hg 2.90
10 Hg 0.5000 0.0000 0.1396  2 Ag 2.90, 3 Hg 3.12-3.16, 2 Er 3.14
11 Er 0.0000 0.0000 0.6838  12 Hg 3.14-3.46

The calculated volume comes out at 267 Å³ per cell. The value obtained for the total energy is -1.5198 eV/atom.



[2]
This record from Alexandria via LeMat-Bulk describes crystalline CdSiBr2 at its relaxed geometry. The functional is GGA-PBE.

a = 6.6971 Å, b = 6.6971 Å, c = 3.4137 Å
α = 59.33°, β = 59.33°, γ = 75.06°
Last column: nearest neighbours and their distance in Å.
Fractional positions:
1 Si 0.0000 0.5000 0.5000  4 Br 2.88
2 Br 0.0000 0.0000 0.0000  2 Cd 2.88, 2 Si 2.88
3 Br 0.5000 0.5000 0.0000  2 Si 2.88, 2 Cd 2.88
4 Cd 0.5000 0.0000 0.5000  4 Br 2.88

The calculated volume comes out at 113 Å³ per cell. The raw formation energy comes out at 132 meV per atom.



[3]
This record from Alexandria via LeMat-Bulk describes crystalline MgP2Ru at its relaxed geometry. The functional is GGA-PBE.

a = 3.9413 Å, b = 3.4667 Å, c = 4.6829 Å
α = 89.93°, β = 90.00°, γ = 90.00°
Last column: nearest neighbours and their distance in Å.
Fractional positions:
1 P 0.0000 0.2508 0.5243  1 P 2.11, 2 Ru 2.35
2 Mg 0.5000 0.7500 0.7500  8 P 2.83, 4 Ru 2.91
3 Ru 0.5000 0.2500 0.2500  4 P 2.35
4 P 0.0000 0.2492 0.9757  1 P 2.11, 2 Ru 2.35

The calculated volume comes out at 64 Å³ per cell. The value obtained for the total energy is -5.7663 eV/atom.



[4]
This record from Alexandria via LeMat-Bulk describes crystalline AcTm3Cd2 at its relaxed geometry. The functional is GGA-PBE.

a = 5.4646 Å, b = 9.5396 Å, c = 8.9164 Å
α = 124.27°, β = 90.00°, γ = 106.64°
Last column: nearest neighbours and their distance in Å.
Fractional positions:
1 Ac 0.8681 0.7362 0.9205  5 Cd 3.41-3.52, 5 Tm 3.63-3.80
2 Tm 0.6144 0.2288 0.6972  4 Cd 2.99-3.32
3 Ac 0.1319 0.2638 0.0795  5 Cd 3.41-3.52, 5 Tm 3.63-3.80
4 Cd 0.7709 0.5417 0.1527  5 Tm 3.21-3.32, 3 Ac 3.43-3.52
5 Cd 0.2291 0.4583 0.8473  5 Tm 3.21-3.32, 3 Ac 3.43-3.52
6 Tm 0.3856 0.7712 0.3028  4 Cd 2.99-3.32
7 Tm 0.6964 0.3929 0.4032  2 Cd 2.95-3.23, 2 Tm 3.21
8 Tm 0.3036 0.6071 0.5968  2 Cd 2.95-3.23, 2 Tm 3.21
9 Tm 0.0666 0.1331 0.4126  3 Cd 3.21-3.30, 3 Tm 3.47-3.58
10 Cd 0.5033 0.0066 0.8436  1 Cd 2.86, 2 Tm 2.95-2.99
11 Tm 0.9334 0.8669 0.5874  3 Cd 3.21-3.30, 3 Tm 3.47-3.58
12 Cd 0.4967 0.9934 0.1564  1 Cd 2.86, 2 Tm 2.95-2.99

The calculated volume comes out at 360 Å³ per cell. The value obtained for the total energy is -3.3453 eV/atom.



> Number 3 is which compound?

MgP2Ru